No. 1
LiBiNF2: single point on PBEsol structure, SCAN.

Lattice parameters (Å, degrees): 3.575 3.575 4.283 90.00 90.00 90.00
Space group P4/mmm (No. 123)
Symmetry-distinct sites (fractional):
Li: 0.000 0.000 0.000 x1
Bi: 0.500 0.500 0.500 x1
N: 0.000 0.000 0.500 x1
F: 0.000 0.500 0.000 x2

Results
VASP energy   -20.611 eV per atom

***

No. 2
TlCo2Cl: single point on PBEsol structure, SCAN.

Lattice parameters (Å, degrees): 3.034 3.948 5.956 90.00 90.00 90.00
Space group Pmmm (No. 47)
Symmetry-distinct sites (fractional):
Tl: 0.000 0.000 0.000 x1
Co: 0.500 0.500 0.186 x2
Cl: 0.000 0.500 0.500 x1

Results
VASP energy   -28.386 eV per atom

***

No. 3
LiP2Cl: single point on PBEsol structure, SCAN.

Lattice parameters (Å, degrees): 3.259 7.720 3.572 90.00 90.10 90.00
Space group P2/m (No. 10)
Symmetry-distinct sites (fractional):
Li: 0.000 0.000 0.000 x1
P: 0.250 0.500 0.692 x2
Cl: 0.500 0.000 0.500 x1

Results
Distance to the lowest polymorph of the same formula   0.24 eV per formula unit

***

No. 4
MgNi: single point on PBEsol structure, SCAN.

Lattice parameters (Å, degrees): 9.416 2.776 4.448 90.00 107.93 90.00
Space group C2/m (No. 12)
Symmetry-distinct sites (fractional):
Mg: 0.105 0.000 0.320 x4
Ni: 0.147 0.500 0.846 x4

Results
ΔH_f (0 K)   -0.098 eV per atom

***

No. 5
KTa2Br: single point on PBEsol structure, SCAN.

Lattice parameters (Å, degrees): 2.991 2.991 9.863 90.00 90.00 90.00
Space group P4/mmm (No. 123)
Symmetry-distinct sites (fractional):
K: 0.000 0.000 0.000 x1
Ta: 0.500 0.500 0.319 x2
Br: 0.000 0.000 0.500 x1

Results
Distance to the lowest polymorph of the same formula   0.06 eV per formula unit

***

No. 6
LiCaPb: single point on PBEsol structure, SCAN.

Lattice parameters (Å, degrees): 4.9193 4.9193 10.7727 90.00 90.00 120.00
Space group P-6m2 (No. 187)
Symmetry-distinct sites (fractional):
Li: 0.0000 0.0000 0.0000 x1
Li: 0.6667 0.3333 0.3057 x2
Ca: 0.3333 0.6667 0.1665 x2
Ca: 0.3333 0.6667 0.5000 x1
Pb: 0.0000 0.0000 0.3452 x2
Pb: 0.6667 0.3333 0.0000 x1

Results
ΔH_f (0 K)   -0.638 eV per atom

***

No. 7
FeCuF2: single point on PBEsol structure, SCAN.

Lattice parameters (Å, degrees): 5.506 5.506 5.506 90.00 90.00 90.00
Space group Fm-3m (No. 225)
Symmetry-distinct sites (fractional):
Fe: 0.000 0.000 0.000 x4
Cu: 0.000 0.000 0.500 x4
F: 0.250 0.250 0.250 x8

Results
VASP energy   -10.993 eV per atom

***

No. 8
ZrCuSe4: single point on PBEsol structure, SCAN.

Lattice parameters (Å, degrees): 7.760 7.760 7.760 90.00 90.00 90.00
Space group F-43m (No. 216)
Symmetry-distinct sites (fractional):
Zr: 0.000 0.000 0.000 x4
Cu: 0.250 0.250 0.250 x4
Se: 0.125 0.125 0.625 x16

Results
VASP energy   -20.454 eV per atom

***

No. 9
CdInRh: single point on PBEsol structure, SCAN.

Lattice parameters (Å, degrees): 3.0616 3.0616 6.8132 90.00 90.00 120.00
Space group P3m1 (No. 156)
Symmetry-distinct sites (fractional):
Cd: 0.0000 0.0000 0.0000 x1
In: 0.3333 0.6667 0.6115 x1
Rh: 0.6667 0.3333 0.3126 x1

Results
ΔH_f (0 K)   0.000 eV per atom

***

No. 10
K2AuN2: single point on PBEsol structure, SCAN.

Lattice parameters (Å, degrees): 7.928 7.928 3.432 90.00 90.00 90.00
Space group P4/mbm (No. 127)
Symmetry-distinct sites (fractional):
K: 0.231 0.269 0.000 x4
Au: 0.000 0.000 0.500 x2
N: 0.052 0.552 0.500 x4

Results
VASP energy   -21.133 eV per atom

***

No. 11
YTlTc: single point on PBEsol structure, SCAN.

Lattice parameters (Å, degrees): 6.575 6.575 6.575 90.00 90.00 90.00
Space group F-43m (No. 216)
Symmetry-distinct sites (fractional):
Y: 0.000 0.000 0.000 x4
Tl: 0.000 0.000 0.500 x4
Tc: 0.250 0.250 0.750 x4

Results
ΔH_f (0 K)   0.436 eV per atom

***

No. 12
CdTe: single point on PBEsol structure, SCAN.

Lattice parameters (Å, degrees): 3.040 3.040 6.109 90.00 90.00 90.00
Space group P4/mmm (No. 123)
Symmetry-distinct sites (fractional):
Cd: 0.000 0.000 0.000 x1
Te: 0.000 0.000 0.500 x1

Results
VASP energy   -33.802 eV per atom

***

No. 13
TcRuSe: single point on PBEsol structure, SCAN.

Lattice parameters (Å, degrees): 2.924 2.924 10.017 90.00 90.00 90.00
Space group I4mm (No. 107)
Symmetry-distinct sites (fractional):
Tc: 0.000 0.000 0.000 x2
Ru: 0.000 0.000 0.662 x2
Se: 0.000 0.000 0.337 x2

Results
Distance to the lowest polymorph of the same formula   0.00 eV per formula unit

***

No. 14
CeSi3Rh: single point on PBEsol structure, SCAN.

Lattice parameters (Å, degrees): 4.176 4.176 9.667 90.00 90.00 90.00
Space group I4mm (No. 107)
Symmetry-distinct sites (fractional):
Ce: 0.000 0.000 0.000 x2
Si: 0.000 0.000 0.584 x2
Si: 0.000 0.500 0.234 x4
Rh: 0.000 0.000 0.343 x2

Results
VASP energy   -22.549 eV per atom

***

No. 15
CsVCuF6: single point on PBEsol structure, SCAN.

Lattice parameters (Å, degrees): 7.123 7.506 10.470 90.00 90.00 90.00
Space group Imma (No. 74)
Symmetry-distinct sites (fractional):
Cs: 0.000 0.250 0.112 x4
V: 0.000 0.000 0.500 x4
Cu: 0.250 0.250 0.750 x4
F: 0.000 0.250 0.455 x4
F: 0.000 0.250 0.821 x4
F: 0.188 0.034 0.622 x16

Results
VASP energy   -12.963 eV per atom

***

No. 16
MnAl2I: single point on PBEsol structure, SCAN.

Lattice parameters (Å, degrees): 7.771 7.771 5.523 90.00 90.00 90.00
Space group I-42d (No. 122)
Symmetry-distinct sites (fractional):
Mn: 0.000 0.000 0.000 x4
Al: 0.203 0.250 0.125 x8
I: 0.000 0.000 0.500 x4

Results
VASP energy   -17.161 eV per atom

***

No. 17
LiMoAsO6: single point on PBEsol structure, SCAN.

Lattice parameters (Å, degrees): 5.132 8.540 10.312 90.00 94.49 90.00
Space group P2_1 (No. 4)
Symmetry-distinct sites (fractional):
Li: 0.010 0.000 0.382 x2
Li: 0.306 0.676 0.894 x2
Mo: 0.116 0.351 0.338 x2
Mo: 0.321 0.837 0.153 x2
As: 0.157 0.071 0.891 x2
As: 0.378 0.699 0.462 x2
O: 0.036 0.876 0.222 x2
O: 0.071 0.698 0.730 x2
O: 0.111 0.023 0.727 x2
O: 0.134 0.632 0.061 x2
O: 0.172 0.843 0.502 x2
O: 0.228 0.894 0.965 x2
O: 0.248 0.516 0.484 x2
O: 0.322 0.199 0.451 x2
O: 0.347 0.378 0.233 x2
O: 0.389 0.207 0.932 x2
O: 0.461 0.719 0.304 x2
O: 0.487 0.010 0.175 x2

Results
Distance to the lowest polymorph of the same formula   0.06 eV per formula unit

***

No. 18
SrZr2Cr: single point on PBEsol structure, SCAN.

Lattice parameters (Å, degrees): 4.760 4.760 7.814 90.00 90.00 90.00
Space group I4/mmm (No. 139)
Symmetry-distinct sites (fractional):
Sr: 0.000 0.000 0.000 x2
Zr: 0.000 0.500 0.250 x4
Cr: 0.000 0.000 0.500 x2

Results
Distance to the lowest polymorph of the same formula   0.66 eV per formula unit
ΔH_f (0 K)   0.697 eV per atom

***

No. 19
CuAgOs2: single point on PBEsol structure, SCAN.

Lattice parameters (Å, degrees): 2.807 4.527 8.823 90.00 90.00 90.00
Space group Imm2 (No. 44)
Symmetry-distinct sites (fractional):
Cu: 0.000 0.000 0.000 x2
Ag: 0.000 0.500 0.258 x2
Os: 0.000 0.000 0.487 x2
Os: 0.000 0.500 0.746 x2

Results
Distance to the lowest polymorph of the same formula   0.85 eV per formula unit
ΔH_f (0 K)   0.717 eV per atom

***

No. 20
CuTe2Au: single point on PBEsol structure, SCAN.

Lattice parameters (Å, degrees): 3.9142 3.9142 19.3195 90.00 90.00 120.00
Space group R-3m (No. 166, hexagonal axes)
Symmetry-distinct sites (fractional):
Cu: 0.0000 0.0000 0.0000 x3
Te: 0.0000 0.0000 0.2561 x6
Au: 0.0000 0.0000 0.5000 x3

Results
VASP energy   -39.756 eV per atom

***

No. 21
ZrCr2Cd: single point on PBEsol structure, SCAN.

Lattice parameters (Å, degrees): 5.617 8.925 2.646 90.00 110.12 90.00
Space group C2/m (No. 12)
Symmetry-distinct sites (fractional):
Zr: 0.000 0.000 0.000 x2
Cr: 0.250 0.250 0.500 x4
Cd: 0.000 0.500 0.000 x2

Results
ΔH_f (0 K)   0.613 eV per atom

***

No. 22
BaLa2Br8: single point on PBEsol structure, SCAN.

Lattice parameters (Å, degrees): 13.342 13.342 8.367 90.00 90.00 90.00
Space group I-4 (No. 82)
Symmetry-distinct sites (fractional):
Ba: 0.000 0.000 0.000 x2
Ba: 0.000 0.500 0.250 x2
La: 0.138 0.285 0.693 x8
Br: 0.029 0.751 0.932 x8
Br: 0.051 0.639 0.550 x8
Br: 0.076 0.883 0.319 x8
Br: 0.164 0.263 0.336 x8

Results
VASP energy   -27.805 eV per atom

***

No. 23
ScAsCl3: single point on PBEsol structure, SCAN.

Lattice parameters (Å, degrees): 4.985 4.985 4.985 90.00 90.00 90.00
Space group Pm-3m (No. 221)
Symmetry-distinct sites (fractional):
Sc: 0.000 0.000 0.000 x1
As: 0.500 0.500 0.500 x1
Cl: 0.000 0.000 0.500 x3

Results
VASP energy   -12.837 eV per atom